1.
# SmAlZn2 PBE-GGA relaxed
# DFT formation energy   -0.305 eV/atom
# Density of states at the Fermi level   6.80 states/eV/cell
# M_tot   0.000 μB per formula unit
# Total DFT energy (no corrections)   -36.69 eV/cell
data_SmAlZn2
_cell_length_a 4.3349
_cell_length_b 4.3349
_cell_length_c 15.0297
_cell_angle_alpha 90.00
_cell_angle_beta 90.00
_cell_angle_gamma 120.00
_space_group_name_H-M_alt 'R -3 m'
_space_group_IT_number 166
_space_group_name_Hall '-R 3 2"'
loop_
_atom_site_label
_atom_site_fract_x
_atom_site_fract_y
_atom_site_fract_z
Sm1 0.0000 0.0000 0.0000
Al1 0.0000 0.0000 0.5000
Zn1 0.0000 0.0000 0.2153

2.
# KYSn PBE-GGA relaxed
# DFT formation energy   -0.308 eV/atom
# Density of states at the Fermi level   0.34 states/eV/cell
# M_tot   0.000 μB per formula unit
# Offset from the most stable computed form   0.0877 eV per atom
# Total DFT energy (no corrections)   -24.98 eV/cell
data_KYSn
_cell_length_a 5.6698
_cell_length_b 5.6698
_cell_length_c 6.6148
_cell_angle_alpha 90.00
_cell_angle_beta 90.00
_cell_angle_gamma 120.00
_space_group_name_H-M_alt 'P 63/m m c'
_space_group_IT_number 194
_space_group_name_Hall '-P 6c 2c'
loop_
_atom_site_label
_atom_site_fract_x
_atom_site_fract_y
_atom_site_fract_z
K1 0.0000 0.0000 0.0000
Y1 0.3333 0.6667 0.2500
Sn1 0.3333 0.6667 0.7500

3.
# LiMg2Fe PBE-GGA relaxed
# DFT formation energy   0.306 eV/atom
# Density of states at the Fermi level   19.68 states/eV/cell
# M_tot   2.580 μB per formula unit
# Total DFT energy (no corrections)   -49.37 eV/cell
data_LiMg2Fe
_cell_length_a 6.529
_cell_length_b 6.529
_cell_length_c 6.529
_cell_angle_alpha 90.00
_cell_angle_beta 90.00
_cell_angle_gamma 90.00
_space_group_name_H-M_alt 'F -4 3 m'
_space_group_IT_number 216
_space_group_name_Hall 'F -4 2 3'
loop_
_atom_site_label
_atom_site_fract_x
_atom_site_fract_y
_atom_site_fract_z
Li1 0.000 0.000 0.000
Mg1 0.000 0.000 0.500
Mg2 0.250 0.250 0.250
Fe1 0.250 0.250 0.750

4.
# MnSb2Au PBE-GGA relaxed
# Density of states at the Fermi level   4.14 states/eV/cell
# M_tot   3.642 μB per formula unit
# Offset from the most stable computed form   0.1543 eV per atom
# Total DFT energy (no corrections)   -39.91 eV/cell
data_MnSb2Au
_cell_length_a 6.678
_cell_length_b 6.732
_cell_length_c 3.785
_cell_angle_alpha 90.00
_cell_angle_beta 90.00
_cell_angle_gamma 90.00
_space_group_name_H-M_alt 'C m m m'
_space_group_IT_number 65
_space_group_name_Hall '-C 2 2'
loop_
_atom_site_label
_atom_site_fract_x
_atom_site_fract_y
_atom_site_fract_z
Mn1 0.000 0.000 0.000
Sb1 0.250 0.250 0.500
Au1 0.000 0.500 0.000